{"formula": "TlNiI2O", "functional": "PBE with a Hubbard U", "state": "optimized geometry", "cell": [[6.300, 0.000, 0.000], [0.000, 6.300, 0.000], [0.000, 0.000, 3.545]], "species": ["Tl", "Ni", "I", "I", "O"], "frac_coords": [[0.000, 0.000, 0.000], [0.500, 0.500, 0.500], [0.000, 0.500, 0.500], [0.500, 0.000, 0.500], [0.500, 0.500, 0.000]], "polymorph_energy_mev_per_atom": 0}